No. 1
The following is a DFT calculation (PBE-GGA) of an optimized crystal structure of Pr2HoZn.

Summary:
total DFT energy (no corrections) = -3.9837 eV/atom
ΔH_f (0 K) = -131 meV per atom
excess energy over the best structure of this formula in the dataset = 22 meV/atom
crystal system = tetragonal

a b c (Å): 3.6876 3.6876 8.7632
angles (deg): 90.00 90.00 90.00
Last column: nearest neighbours and their distance in Å.
Space group P4/mmm (No. 123)
One atom of each set of equivalent atoms:
Pr  0.0000  0.0000  0.2128 (multiplicity 2)  4 Zn 3.21
Ho  0.5000  0.5000  0.5000 (multiplicity 1)  8 Pr 3.62, 4 Ho 3.69
Zn  0.5000  0.5000  0.0000 (multiplicity 1)  8 Pr 3.21

=====

No. 2
The following is a DFT calculation (PBE-GGA) of an optimized crystal structure of Pr2HoZn3.

Summary:
total DFT energy (no corrections) = -3.3021 eV/atom
ΔH_f (0 K) = -309 meV per atom
crystal system = trigonal

a b c (Å): 5.1679 5.1679 6.3611
angles (deg): 90.00 90.00 120.00
Last column: nearest neighbours and their distance in Å.
Space group P-3m1 (No. 164)
One atom of each set of equivalent atoms:
Pr  0.3333  0.6667  0.1767 (multiplicity 2)  8 Zn 3.10-3.26
Ho  0.0000  0.0000  0.5000 (multiplicity 1)  8 Zn 3.16-3.18
Zn  0.0000  0.0000  0.0000 (multiplicity 1)  2 Ho 3.18, 6 Pr 3.19
Zn  0.3333  0.6667  0.6636 (multiplicity 2)  5 Pr 3.10-3.26, 3 Ho 3.16

=====

Which of these has the lowest ΔH_f (0 K)?
Pr2HoZn3

=====

total DFT energy (no corrections) of number 1 (Pr2HoZn)?
-3.9837 eV/atom

=====

Which formula does entry 1 have?
Pr2HoZn